Record 1
DFT (GGA-PBE) results for a relaxed structure of TaB2W.

a b c (Å): 3.2005 3.2005 15.7578
angles (deg): 90.00 90.00 120.00
With the nearest neighbours (Å) after each atom.
Space group R-3m (No. 166, hexagonal axes)
Symmetry-distinct sites (fractional):
Ta  0.0000  0.0000  0.0000 x3  6 B 2.29
B  0.0000  0.0000  0.2475 x6  3 W 2.24, 3 Ta 2.29
W  0.0000  0.0000  0.5000 x3  6 B 2.24

E_form in eV/atom: -0.439
E_tot in eV per atom: -9.980
Relative energy among the computed polymorphs in eV per formula unit: 0.62

---

Record 2
DFT (GGA-PBE) results for a relaxed structure of TlW2Cl.

a b c (Å): 10.9169 2.8466 5.3090
angles (deg): 90.00 117.26 90.00
With the nearest neighbours (Å) after each atom.
Space group C2/m (No. 12)
Symmetry-distinct sites (fractional):
Tl  0.0000  0.0000  0.0000 x2  2 Tl 2.85, 4 W 2.95, 4 Cl 3.01
W  0.2342  0.0000  0.7501 x4  2 Cl 2.69, 4 W 2.85-2.89, 2 Tl 2.95
Cl  0.0000  0.5000  0.5000 x2  4 W 2.69, 2 Cl 2.85

E_tot in eV per atom: -6.542
Formation energy without anion corrections in eV/atom: 0.99
Relative energy among the computed polymorphs in eV per formula unit: 2.79

---

Record 3
DFT (GGA-PBE) results for a relaxed structure of LaCrFeCo2.

a b c (Å): 4.1960 4.1960 5.0351
angles (deg): 90.00 90.00 90.00
With the nearest neighbours (Å) after each atom.
Space group P4/mmm (No. 123)
Symmetry-distinct sites (fractional):
La  0.0000  0.0000  0.0000 x1  2 Cr 2.52
Cr  0.0000  0.0000  0.5000 x1  4 Co 2.10
Fe  0.5000  0.5000  0.0000 x1  4 La 2.97, 8 Co 3.28
Co  0.0000  0.5000  0.5000 x2  2 Cr 2.10

E_form in eV/atom: 1.331
E_tot in eV per atom: -6.114

---

Record 4
DFT (GGA-PBE) results for a relaxed structure of La2TmTa.

a b c (Å): 3.2879 3.2879 36.3477
angles (deg): 90.00 90.00 120.00
With the nearest neighbours (Å) after each atom.
Space group R-3m (No. 166, hexagonal axes)
Symmetry-distinct sites (fractional):
La  0.0000  0.0000  0.0800 x6  1 Ta 2.91
Tm  0.0000  0.0000  0.5000 x3  6 Tm 3.29, 6 La 3.68
Ta  0.0000  0.0000  0.0000 x3  2 La 2.91

E_form in eV/atom: 0.635
E_tot in eV per atom: -5.909

---

Record 5
DFT (GGA-PBE) results for a relaxed structure of Sc2CuOs.

a b c (Å): 3.1517 4.1231 5.4873
angles (deg): 90.00 90.00 90.00
With the nearest neighbours (Å) after each atom.
Space group Pmm2 (No. 25)
Symmetry-distinct sites (fractional):
Sc  0.0000  0.0000  0.0000 x1  1 Cu 2.59, 4 Os 2.72
Sc  0.5000  0.5000  0.3499 x1  2 Os 2.74-2.75, 4 Cu 2.77
Cu  0.0000  0.0000  0.5288 x1  5 Sc 2.59-2.77
Os  0.5000  0.5000  0.8511 x1  6 Sc 2.72-2.75

E_form in eV/atom: -0.058
E_tot in eV per atom: -7.055
Relative energy among the computed polymorphs in eV per formula unit: 1.41

---

Record 6
DFT (GGA-PBE) results for a relaxed structure of ReTcPt2.

a b c (Å): 6.2757 6.2757 6.2757
angles (deg): 90.00 90.00 90.00
With the nearest neighbours (Å) after each atom.
Space group F-43m (No. 216)
Symmetry-distinct sites (fractional):
Re  0.0000  0.0000  0.0000 x4  4 Tc 2.72, 4 Pt 2.72
Tc  0.2500  0.2500  0.7500 x4  4 Re 2.72, 4 Pt 2.72
Pt  0.0000  0.0000  0.5000 x4  4 Pt 2.72, 4 Tc 2.72
Pt  0.2500  0.2500  0.2500 x4  4 Re 2.72, 4 Pt 2.72

E_form in eV/atom: 0.278
E_tot in eV per atom: -8.446
Relative energy among the computed polymorphs in eV per formula unit: 1.66

---

Record 7
DFT (GGA-PBE) results for a relaxed structure of CuAg2Au2.

a b c (Å): 3.7444 3.7444 13.9117
angles (deg): 90.00 90.00 90.00
With the nearest neighbours (Å) after each atom.
Space group I4/mmm (No. 139)
Symmetry-distinct sites (fractional):
Cu  0.0000  0.0000  0.0000 x2  8 Au 2.96
Ag  0.0000  0.5000  0.2500 x4  4 Ag 2.65, 4 Au 2.86
Au  0.0000  0.0000  0.4050 x4  1 Au 2.64, 4 Ag 2.86, 4 Cu 2.96

E_form in eV/atom: 0.300
E_tot in eV per atom: -2.970
Relative energy among the computed polymorphs in eV per formula unit: 0.89

---

Record 8
DFT (GGA-PBE) results for a relaxed structure of Ca2Pm4Sb3O2.

a b c (Å): 4.7999 4.7999 25.2445
angles (deg): 90.00 90.00 90.00
With the nearest neighbours (Å) after each atom.
Space group I4/mmm (No. 139)
Symmetry-distinct sites (fractional):
Ca  0.0000  0.0000  0.1954 x4  1 O 2.36
Pm  0.0000  0.5000  0.0833 x8  2 O 2.45
Sb  0.0000  0.0000  0.3231 x4  5 Ca 3.22-3.43, 4 Pm 3.37
Sb  0.0000  0.0000  0.5000 x2  8 Pm 3.19
O  0.0000  0.0000  0.1021 x4  1 Ca 2.36, 4 Pm 2.45

E_tot in eV per atom: -5.813
Formation energy without anion corrections in eV/atom: -1.70

---

Record 9
DFT (GGA-PBE) results for a relaxed structure of GeBr2.

a b c (Å): 6.7295 6.7295 4.1544
angles (deg): 90.00 90.00 90.00
With the nearest neighbours (Å) after each atom.
Space group P4_2/mnm (No. 136)
Symmetry-distinct sites (fractional):
Ge  0.0000  0.0000  0.0000 x2  6 Br 2.82-2.85
Br  0.2010  0.2010  0.5000 x4  3 Ge 2.82-2.85

E_tot in eV per atom: -3.171
Formation energy without anion corrections in eV/atom: -0.52

---

Record 10
DFT (GGA-PBE) results for a relaxed structure of KYTl2.

a b c (Å): 5.8330 5.8330 3.5889
angles (deg): 90.00 90.00 90.00
With the nearest neighbours (Å) after each atom.
Space group P4/mmm (No. 123)
Symmetry-distinct sites (fractional):
K  0.0000  0.0000  0.0000 x1  8 Tl 3.42, 2 K 3.59
Y  0.5000  0.5000  0.0000 x1  8 Tl 3.42, 2 Y 3.59
Tl  0.0000  0.5000  0.5000 x2  4 Y 3.42, 4 K 3.42, 2 Tl 3.59

E_form in eV/atom: -0.133
E_tot in eV per atom: -3.207
Relative energy among the computed polymorphs in eV per formula unit: 0.31

---

Record 11
DFT (GGA-PBE) results for a relaxed structure of TaTeRu2.

a b c (Å): 8.8246 3.2007 5.0258
angles (deg): 90.00 102.39 90.00
With the nearest neighbours (Å) after each atom.
Space group C2/m (No. 12)
Symmetry-distinct sites (fractional):
Ta  0.0000  0.0000  0.0000 x2  6 Ru 2.68-2.78, 4 Te 2.98
Te  0.0000  0.5000  0.5000 x2  6 Ru 2.75-2.92, 4 Ta 2.98
Ru  0.2371  0.5000  0.2220 x4  3 Ta 2.68-2.78, 3 Te 2.75-2.92, 2 Ru 2.79

E_tot in eV per atom: -8.264
Formation energy without anion corrections in eV/atom: 0.12

---

Record 12
DFT (GGA-PBE) results for a relaxed structure of CaZn2AgAu2.

a b c (Å): 4.5448 4.5448 6.5749
angles (deg): 90.00 90.00 120.00
With the nearest neighbours (Å) after each atom.
Space group P-3m1 (No. 164)
Symmetry-distinct sites (fractional):
Ca  0.0000  0.0000  0.0000 x1  6 Au 3.17, 2 Ag 3.29, 6 Zn 3.30
Zn  0.3333  0.6667  0.6946 x2  4 Au 2.63-2.79, 3 Ag 2.92
Ag  0.0000  0.0000  0.5000 x1  6 Zn 2.92, 6 Au 3.03
Au  0.3333  0.6667  0.2704 x2  4 Zn 2.63-2.79

E_form in eV/atom: -0.419
E_tot in eV per atom: -2.744

---

Record 13
DFT (GGA-PBE) results for a relaxed structure of HgSeBr2.

a b c (Å): 3.6859 7.6960 10.1415
angles (deg): 90.00 90.00 90.00
With the nearest neighbours (Å) after each atom.
Space group Immm (No. 71)
Symmetry-distinct sites (fractional):
Hg  0.0000  0.0000  0.0000 x2  2 Hg 3.69, 4 Br 3.69
Se  0.0000  0.0000  0.5000 x2  4 Br 2.63
Br  0.0000  0.5000  0.1851 x4  2 Se 2.63

E_tot in eV per atom: -1.769
Formation energy without anion corrections in eV/atom: 0.01
Relative energy among the computed polymorphs in eV per formula unit: 0.77